# 1
CaCrPt4 | Alexandria | PBE-GGA | relaxed; SG = F-43m; total magnetic moment = 4.662 μB/cell; uncorrected energy = -6.4001 eV/atom; formation enthalpy at 0 K = -0.435 eV per atom; mass density = 13.35 Mg/m³
1.0
-4.484 -0.744 2.830
-1.790 3.865 3.245
-4.442 2.710 -1.261
Ca Cr Pt
1 1 4
direct
0.750 0.750 0.750
0.000 0.000 0.000
0.876 0.375 0.375
0.375 0.375 0.876
0.375 0.876 0.375
0.375 0.375 0.375

=====

# 2
CaCrPt | Alexandria | PBE-GGA | relaxed; SG = P-1; energy above the most stable polymorph in this dataset = 0.184 eV/atom; total magnetic moment = 0.000 μB/cell; uncorrected energy = -5.9992 eV/atom; formation enthalpy at 0 K = -0.111 eV per atom; mass density = 8.68 Mg/m³
1.0
-3.150 -0.114 -3.571
-0.068 -2.903 0.533
-4.308 -0.334 7.175
Cr Ca Pt
2 2 2
direct
0.045 0.906 0.653
0.690 0.147 0.652
0.051 0.843 0.020
0.684 0.211 0.285
0.482 0.412 0.880
0.254 0.641 0.425

=====

# 3
CaCrPt | Alexandria | PBE-GGA | relaxed; SG = I4mm; energy above the most stable polymorph in this dataset = 0.187 eV/atom; total magnetic moment = 3.805 μB/cell; uncorrected energy = -5.9964 eV/atom; formation enthalpy at 0 K = -0.108 eV per atom; mass density = 7.59 Mg/m³
1.0
-1.563 1.910 -5.219
-4.456 1.480 -3.360
-0.370 3.439 0.218
Cr Ca Pt
1 1 1
direct
0.292 0.292 0.708
0.006 0.006 0.994
0.702 0.702 0.298

=====

# 4
CaCrPt | Alexandria | PBE-GGA | relaxed; SG = P6_3/mmc; energy above the most stable polymorph in this dataset = 1.197 eV/atom; total magnetic moment = 8.443 μB/cell; uncorrected energy = -4.9867 eV/atom; formation enthalpy at 0 K = 0.902 eV per atom; mass density = 4.55 Mg/m³
1.0
-1.648 4.244 2.304
-2.783 -4.271 0.227
4.455 -2.491 7.777
Cr Ca Pt
2 2 2
direct
0.000 0.000 0.250
0.000 0.000 0.750
0.333 0.667 0.250
0.667 0.333 0.750
0.000 0.000 0.000
0.000 0.000 0.500

=====

# 5
CaCrPt | Alexandria | PBE-GGA | relaxed; SG = P-1; energy above the most stable polymorph in this dataset = 0.075 eV/atom; total magnetic moment = 0.000 μB/cell; uncorrected energy = -6.1086 eV/atom; formation enthalpy at 0 K = -0.220 eV per atom; mass density = 7.25 Mg/m³
1.0
5.688 0.177 0.084
0.636 5.619 0.089
0.003 -1.868 4.102
Cr Ca Pt
2 2 2
direct
0.759 0.103 0.573
0.004 0.423 0.732
0.205 0.011 0.026
0.559 0.515 0.279
0.728 0.880 0.961
0.036 0.646 0.344

=====

# 6
CaCrPt | Alexandria | PBE-GGA | relaxed; SG = I-4m2; energy above the most stable polymorph in this dataset = 0.117 eV/atom; total magnetic moment = 0.001 μB/cell; uncorrected energy = -6.0668 eV/atom; formation enthalpy at 0 K = -0.178 eV per atom; mass density = 7.27 Mg/m³
1.0
4.228 0.000 -0.001
-2.111 7.641 0.110
0.001 -1.225 4.045
Cr Ca Pt
2 2 2
direct
0.163 0.193 0.604
0.307 0.481 0.748
0.485 0.837 0.426
0.735 0.337 0.176
0.074 0.015 0.015
0.896 0.659 0.837

=====

# 7
CaCrPt | Alexandria | PBE-GGA | relaxed; SG = Cm; energy above the most stable polymorph in this dataset = 0.164 eV/atom; total magnetic moment = 0.000 μB/cell; uncorrected energy = -6.0191 eV/atom; formation enthalpy at 0 K = -0.131 eV per atom; mass density = 7.56 Mg/m³
1.0
5.140 0.039 0.074
3.003 4.172 0.074
0.955 0.494 5.937
Cr Ca Pt
2 2 2
direct
0.443 0.221 0.327
0.282 0.059 0.191
0.001 0.779 0.965
0.716 0.494 0.588
0.379 0.157 0.765
0.032 0.810 0.451

=====

# 8
CaCrPt | Alexandria | PBE-GGA | relaxed; SG = P4/nmm; energy above the most stable polymorph in this dataset = 0.006 eV/atom; total magnetic moment = 8.263 μB/cell; uncorrected energy = -6.1770 eV/atom; formation enthalpy at 0 K = -0.288 eV per atom; mass density = 7.47 Mg/m³
1.0
-0.899 3.013 -2.804
-2.523 -2.671 -2.061
-5.551 2.116 4.054
Cr Ca Pt
2 2 2
direct
0.000 0.000 0.000
0.500 0.500 0.000
0.000 0.500 0.348
0.500 0.000 0.652
0.000 0.500 0.776
0.500 0.000 0.224

=====

# 9
CaCrPt | Alexandria | PBE-GGA | relaxed; SG = P1; energy above the most stable polymorph in this dataset = 0.177 eV/atom; total magnetic moment = 0.000 μB/cell; uncorrected energy = -6.0063 eV/atom; formation enthalpy at 0 K = -0.118 eV per atom; mass density = 7.97 Mg/m³
1.0
-1.812 -2.374 0.363
3.114 -1.141 -4.303
7.734 -3.824 1.267
Cr Ca Pt
2 2 2
direct
0.186 0.687 0.130
0.798 0.756 0.283
0.104 0.103 0.554
0.893 0.327 0.901
0.500 0.220 0.225
0.373 0.620 0.568

=====

# 10
CaCrPt | Alexandria | PBE-GGA | relaxed; SG = Cm; energy above the most stable polymorph in this dataset = 0.159 eV/atom; total magnetic moment = 0.002 μB/cell; uncorrected energy = -6.0244 eV/atom; formation enthalpy at 0 K = -0.136 eV per atom; mass density = 7.65 Mg/m³
1.0
3.808 0.076 -0.024
-2.240 7.637 0.029
0.001 1.278 4.262
Cr Ca Pt
2 2 2
direct
0.018 0.773 0.200
0.541 0.620 0.276
0.210 0.102 0.535
0.899 0.433 0.869
0.670 0.023 0.074
0.516 0.761 0.705

=====

# 11
CaCrPt | Alexandria | PBE-GGA | relaxed; SG = Amm2; energy above the most stable polymorph in this dataset = 0.089 eV/atom; total magnetic moment = 2.243 μB/cell; uncorrected energy = -6.0940 eV/atom; formation enthalpy at 0 K = -0.205 eV per atom; mass density = 8.04 Mg/m³
1.0
5.036 0.000 0.000
0.000 4.336 -0.007
0.000 2.177 5.429
Cr Ca Pt
2 2 2
direct
0.762 0.925 0.566
0.335 0.925 0.566
0.548 0.217 0.982
0.048 0.645 0.126
0.048 0.367 0.682
0.548 0.500 0.415

=====

# 12
CaCrPt | Alexandria | PBE-GGA | relaxed; SG = P-1; energy above the most stable polymorph in this dataset = 0.155 eV/atom; total magnetic moment = 0.000 μB/cell; uncorrected energy = -6.0280 eV/atom; formation enthalpy at 0 K = -0.139 eV per atom; mass density = 7.31 Mg/m³
1.0
5.656 -0.029 0.343
-1.414 3.731 0.063
1.315 3.875 6.433
Cr Ca Pt
2 2 2
direct
0.903 0.671 0.728
0.860 0.410 0.577
0.207 0.111 0.958
0.557 0.971 0.347
0.623 0.810 0.977
0.140 0.271 0.328

=====

# 13
CaCrPt3 | Alexandria | PBE-GGA | relaxed; SG = Pm-3m; energy above the most stable polymorph in this dataset = 0.000 eV/atom; total magnetic moment = 0.000 μB/cell; uncorrected energy = -5.8878 eV/atom; formation enthalpy at 0 K = 0.062 eV per atom; mass density = 10.99 Mg/m³
1.0
-3.740 -1.428 -2.420
-1.520 -2.361 3.742
-2.363 3.778 1.423
Cr Ca Pt
1 1 3
direct
0.000 0.000 0.000
0.500 0.500 0.500
0.000 0.500 0.000
0.000 0.000 0.500
0.500 0.000 0.000

=====

# 14
Ca3CrPt | Alexandria | PBE-GGA | relaxed; SG = Pm-3m; energy above the most stable polymorph in this dataset = 0.000 eV/atom; total magnetic moment = 0.857 μB/cell; uncorrected energy = -3.8214 eV/atom; formation enthalpy at 0 K = 0.512 eV per atom; mass density = 3.71 Mg/m³
1.0
-2.049 4.813 -1.625
-5.001 -2.219 -0.267
-0.893 1.384 5.224
Cr Ca Pt
1 3 1
direct
0.500 0.500 0.500
0.000 0.500 0.000
0.000 0.000 0.500
0.500 0.000 0.000
0.000 0.000 0.000

=====

# 15
CaCrPt | Alexandria | PBE-GGA | relaxed; SG = Imm2; energy above the most stable polymorph in this dataset = 0.010 eV/atom; total magnetic moment = 0.000 μB/cell; uncorrected energy = -6.1734 eV/atom; formation enthalpy at 0 K = -0.285 eV per atom; mass density = 7.90 Mg/m³
1.0
-4.252 0.485 -1.111
-1.264 -2.370 -4.999
-3.291 -4.181 1.973
Cr Ca Pt
2 2 2
direct
0.792 0.860 0.305
0.471 0.181 0.626
0.132 0.248 0.238
0.632 0.617 0.868
0.938 0.031 0.843
0.326 0.642 0.455

=====

# 16
Ca4CrPt | Alexandria | PBE-GGA | relaxed; SG = F-43m; total magnetic moment = 5.573 μB/cell; uncorrected energy = -3.2559 eV/atom; formation enthalpy at 0 K = 0.689 eV per atom; mass density = 3.98 Mg/m³
1.0
-3.628 -4.987 0.811
-5.954 0.720 1.650
-4.530 -1.247 -4.076
Ca Cr Pt
4 1 1
direct
0.878 0.374 0.374
0.374 0.374 0.878
0.374 0.878 0.374
0.374 0.374 0.374
0.750 0.750 0.750
0.000 0.000 0.000

=====

# 17
CaCr4Pt | Alexandria | PBE-GGA | relaxed; SG = F-43m; total magnetic moment = 0.000 μB/cell; uncorrected energy = -7.4210 eV/atom; formation enthalpy at 0 K = 0.335 eV per atom; mass density = 8.52 Mg/m³
1.0
1.595 -4.556 -1.152
-2.025 -3.966 2.190
-2.908 -3.061 -2.608
Ca Cr Pt
1 4 1
direct
0.000 0.000 0.000
0.882 0.373 0.373
0.373 0.373 0.882
0.373 0.882 0.373
0.373 0.373 0.373
0.750 0.750 0.750

=====

# 18
CaCr2RePt | Alexandria | PBE-GGA | relaxed; SG = P4/mmm; total magnetic moment = 5.173 μB/cell; uncorrected energy = -6.7870 eV/atom; formation enthalpy at 0 K = 1.160 eV per atom; mass density = 7.71 Mg/m³
1.0
4.573 0.000 0.000
0.000 5.413 0.000
0.000 0.000 4.573
Re Ca Pt Cr
1 1 1 2
direct
0.000 0.000 0.000
0.000 0.500 0.000
0.500 0.500 0.500
0.000 0.000 0.500
0.500 0.000 0.000

=====

# 19
Ca2CrPtRh | Alexandria | PBE-GGA | relaxed; SG = P4/mmm; total magnetic moment = 4.041 μB/cell; uncorrected energy = -5.0391 eV/atom; formation enthalpy at 0 K = 0.365 eV per atom; mass density = 5.21 Mg/m³
1.0
5.340 0.000 0.000
0.000 4.803 0.000
0.000 0.000 5.340
Cr Ca Rh Pt
1 2 1 1
direct
0.000 0.500 0.000
0.000 0.000 0.500
0.500 0.000 0.000
0.500 0.500 0.500
0.000 0.000 0.000

=====

# 20
SrCaCrPt2 | Alexandria | PBE-GGA | relaxed; SG = P4/mmm; total magnetic moment = 0.299 μB/cell; uncorrected energy = -5.0107 eV/atom; formation enthalpy at 0 K = 0.067 eV per atom; mass density = 8.26 Mg/m³
1.0
-2.877 3.805 0.850
-1.990 -0.516 -4.425
-3.361 -2.956 1.856
Sr Ca Pt Cr
1 1 2 1
direct
0.500 0.500 0.500
0.000 0.500 0.000
0.000 0.000 0.500
0.500 0.000 0.000
0.000 0.000 0.000